Here is a geometry-optimized CuO structure from Alexandria via LeMat-Bulk. Energies are from PBE.

Summary:
E_form (uncorrected) ... -1.03 eV per formula unit
Magnetic moment ... 0.000 μB per cell

Cell lengths 6.949, 6.949, 3.893 Å; angles 90.00, 90.00, 90.00 degrees
Fractional positions:
1 O 0.672 0.147 0.000
2 O 0.147 0.328 0.000
3 Cu 0.216 0.596 0.000
4 O 0.647 0.828 0.500
5 Cu 0.404 0.216 0.000
6 O 0.353 0.172 0.500
7 Cu 0.904 0.716 0.500
8 Cu 0.784 0.404 0.000
9 O 0.172 0.647 0.500
10 Cu 0.096 0.284 0.500
11 Cu 0.596 0.784 0.000
12 Cu 0.284 0.904 0.500
13 O 0.853 0.672 0.000
14 O 0.828 0.353 0.500
15 Cu 0.716 0.096 0.500
16 O 0.328 0.853 0.000

=====

Here is a geometry-optimized KHg3P structure from Alexandria via LeMat-Bulk. Energies are from PBE.

Summary:
Magnetic moment ... 0.000 μB per cell
E_form ... -0.131 eV per atom

Cell lengths 5.945, 6.254, 9.115 Å; angles 89.65, 87.15, 62.77 degrees
Fractional positions:
1 Hg 0.872 0.560 0.357
2 K 0.154 0.576 0.711
3 Hg 0.480 0.934 0.838
4 Hg 0.714 0.410 0.920
5 Hg 0.840 0.205 0.610
6 P 0.023 0.523 0.058
7 K 0.100 0.965 0.182
8 Hg 0.458 0.356 0.357
9 Hg 0.410 0.928 0.517
10 P 0.413 0.257 0.050

=====

Here is a geometry-optimized ScAgTe structure from Alexandria via LeMat-Bulk. Energies are from PBE.

Summary:
E_form (uncorrected) ... -1.76 eV per formula unit
Magnetic moment ... 0.000 μB per cell

Cell lengths 4.449, 4.449, 10.493 Å; angles 77.76, 77.76, 60.00 degrees
Fractional positions:
1 Sc 0.561 0.561 0.317
2 Te 0.726 0.726 0.821
3 Ag 0.177 0.177 0.468
4 Sc 0.439 0.439 0.683
5 Ag 0.823 0.823 0.532
6 Te 0.274 0.274 0.179

=====

What volume values result from the calculations? In sequence: 11.75; 30.09; 29.06 Å³ per atom.